Entry 1:
The following is a DFT calculation (GGA-PBE) of a relaxed structure of Th3Cu3Au.

abc: 3.6689 4.3499 19.7621
angles: 90.00 90.00 90.00
Space group Imm2 (No. 44)
Inequivalent atoms, fractional coordinates:
Th 0.0000 0.0000 0.0000 (multiplicity 2)
Th 0.0000 0.0000 0.3829 (multiplicity 2)
Th 0.0000 0.5000 0.1835 (multiplicity 2)
Cu 0.0000 0.0000 0.5532 (multiplicity 2)
Cu 0.0000 0.0000 0.8335 (multiplicity 2)
Cu 0.0000 0.5000 0.6195 (multiplicity 2)
Au 0.0000 0.5000 0.7536 (multiplicity 2)

Electronic total energy, eV/atom: -5.67
Theoretical density, Mg/m³: 11.41



Entry 2:
The following is a DFT calculation (GGA-PBE) of a relaxed structure of HfCu2F.

abc: 7.2217 7.2217 4.4970
angles: 90.00 90.00 90.00
Space group I-42d (No. 122)
Inequivalent atoms, fractional coordinates:
Hf 0.0000 0.0000 0.0000 (multiplicity 4)
Cu 0.2208 0.2500 0.6250 (multiplicity 8)
F 0.0000 0.0000 0.5000 (multiplicity 4)

Formation energy without anion corrections, eV per formula unit: -2.38
Theoretical density, Mg/m³: 9.19
Energy above the lowest structure with this stoichiometry, meV per atom: 0



Entry 3:
The following is a DFT calculation (GGA-PBE) of a relaxed structure of In4Hg5Bi2.

abc: 3.4502 8.1472 12.2884
angles: 104.32 97.86 101.54
Space group P-1 (No. 2)
Inequivalent atoms, fractional coordinates:
In 0.0654 0.4866 0.1319 (multiplicity 2)
In 0.2874 0.6473 0.4289 (multiplicity 2)
Hg 0.0000 0.0000 0.5000 (multiplicity 1)
Hg 0.3116 0.8822 0.2526 (multiplicity 2)
Hg 0.3151 0.1541 0.9765 (multiplicity 2)
Bi 0.4437 0.7066 0.7009 (multiplicity 2)

Electronic total energy, eV/atom: -1.81
Theoretical density, Mg/m³: 9.71



Entry 4:
The following is a DFT calculation (GGA-PBE) of a relaxed structure of SmU2Ni9.

abc: 4.8937 4.8937 24.5750
angles: 90.00 90.00 120.00
Space group R-3m (No. 166, hexagonal axes)
Inequivalent atoms, fractional coordinates:
Sm 0.0000 0.0000 0.0000 (multiplicity 3)
U 0.0000 0.0000 0.1419 (multiplicity 6)
Ni 0.0000 0.0000 0.3330 (multiplicity 6)
Ni 0.0000 0.0000 0.5000 (multiplicity 3)
Ni 0.0006 0.5003 0.9163 (multiplicity 18)

Electronic total energy, eV/atom: -6.90
Theoretical density, Mg/m³: 11.29